Record 1
Entry from Alexandria: a relaxed K4Nd3ZrTe8 crystal (PBE-GGA).

Unit cell a=9.023 b=9.798 c=9.023 alpha=117.44 beta=120.00 gamma=90.00
Last column: magnetic moment on the atom in μB.
Sites, in units of the cell vectors:
K 0.500 0.000 0.000  0.00
K 0.500 0.000 0.500  0.00
K 0.000 0.000 0.000  0.00
K 0.000 0.000 0.500  0.00
Nd 0.500 0.500 0.000  0.02
Nd 0.500 0.500 0.500  0.02
Nd 0.000 0.500 0.500  0.02
Zr 0.000 0.500 0.000  0.29
Te 0.227 0.710 0.982  -0.01
Te 0.228 0.710 0.455  -0.01
Te 0.260 0.281 0.520  0.00
Te 0.755 0.710 0.982  -0.01
Te 0.245 0.290 0.018  -0.01
Te 0.740 0.719 0.480  0.00
Te 0.772 0.290 0.545  -0.01
Te 0.773 0.290 0.018  -0.01

Calculated values
* E_tot: -72.9 eV/cell
* ΔE_f (raw): -1978.5 kJ/mol of formula units

Record 2
Entry from Alexandria: a relaxed KNdTl2 crystal (PBE-GGA).

Unit cell a=5.662 b=5.662 c=5.662 alpha=60.00 beta=60.00 gamma=60.00
Sites, in units of the cell vectors:
Tl 0.250 0.250 0.250
Tl 0.750 0.750 0.750
Nd 0.500 0.500 0.500
K 0.000 0.000 0.000

Calculated values
* formation enthalpy at 0 K: -0.12 eV/atom
* E_tot: -11.1 eV/cell

Record 3
Entry from Alexandria: a relaxed KNdTl crystal (PBE-GGA).

Unit cell a=4.007 b=4.007 c=15.212 alpha=97.57 beta=97.57 gamma=90.00
Sites, in units of the cell vectors:
Nd 0.289 0.289 0.577
Nd 0.711 0.711 0.423
Tl 0.153 0.153 0.305
Tl 0.847 0.847 0.695
K 0.573 0.573 0.146
K 0.427 0.427 0.854

Calculated values
* formation enthalpy at 0 K: -0.12 eV/atom
* E_tot: -17.2 eV/cell

Record 4
Entry from Alexandria: a relaxed KNdTl2 crystal (PBE-GGA).

Unit cell a=3.963 b=3.963 c=8.668 alpha=90.00 beta=90.00 gamma=90.00
Sites, in units of the cell vectors:
Tl 0.000 0.000 0.789
Tl 0.000 0.000 0.211
Nd 0.500 0.500 0.000
K 0.500 0.500 0.500

Calculated values
* formation enthalpy at 0 K: -0.22 eV/atom
* E_tot: -11.5 eV/cell

Record 5
Entry from Alexandria: a relaxed KNdTl2 crystal (PBE-GGA).

Unit cell a=3.855 b=3.855 c=11.130 alpha=80.03 beta=80.03 gamma=60.00
Sites, in units of the cell vectors:
Tl 0.744 0.744 0.768
Tl 0.256 0.256 0.232
Nd 0.000 0.000 0.000
K 0.500 0.500 0.500

Calculated values
* formation enthalpy at 0 K: -0.07 eV/atom
* E_tot: -10.9 eV/cell

Record 6
Entry from Alexandria: a relaxed KNdTl4 crystal (PBE-GGA).

Unit cell a=6.425 b=6.425 c=6.425 alpha=60.00 beta=60.00 gamma=60.00
Sites, in units of the cell vectors:
Tl 0.625 0.625 0.124
Tl 0.625 0.124 0.625
Tl 0.625 0.625 0.625
Tl 0.124 0.625 0.625
Nd 0.000 0.000 0.000
K 0.250 0.250 0.250

Calculated values
* formation enthalpy at 0 K: -0.05 eV/atom
* E_tot: -15.6 eV/cell

What did the sixth record say?
Entry from Alexandria: a relaxed KNdTl4 crystal (PBE-GGA).

Unit cell a=6.425 b=6.425 c=6.425 alpha=60.00 beta=60.00 gamma=60.00
Sites, in units of the cell vectors:
Tl 0.625 0.625 0.124
Tl 0.625 0.124 0.625
Tl 0.625 0.625 0.625
Tl 0.124 0.625 0.625
Nd 0.000 0.000 0.000
K 0.250 0.250 0.250

Calculated values
* formation enthalpy at 0 K: -0.05 eV/atom
* E_tot: -15.6 eV/cell

The highest E_tot belongs to which entry?
number 5

Which of these has the lowest E_tot?
K4Nd3ZrTe8

Which of these has the highest E_tot?
number 5